# 1
The following is a DFT calculation (PBE) of SiIrRu2 after structural relaxation.

## Properties
SG ... Cmmm
Crystal system ... orthorhombic

Cell lengths 4.5880, 4.5880, 2.7420 Å; angles 90.00, 90.00, 107.56 degrees
Sites, in units of the cell vectors:
Si 0.0000 0.0000 0.0000
Ir 0.5000 0.5000 0.0000
Ru 0.0000 0.5000 0.5000
Ru 0.5000 0.0000 0.5000

# 2
The following is a DFT calculation (PBE) of SiIrRu2 after structural relaxation.

## Properties
SG ... P4/mmm
Crystal system ... tetragonal

Cell lengths 3.7784, 3.7784, 3.8594 Å; angles 90.00, 90.00, 90.00 degrees
Sites, in units of the cell vectors:
Si 0.0000 0.0000 0.0000
Ir 0.5000 0.5000 0.0000
Ru 0.0000 0.5000 0.5000
Ru 0.5000 0.0000 0.5000

# 3
The following is a DFT calculation (PBE) of SiIrRu after structural relaxation.

## Properties
SG ... I4mm
Crystal system ... tetragonal

Cell lengths 5.2833, 5.2833, 5.2833 Å; angles 148.39, 148.39, 45.32 degrees
Sites, in units of the cell vectors:
Si 0.0000 0.0000 0.0000
Ir 0.3491 0.3491 0.0000
Ru 0.6429 0.6429 0.0000

# 4
The following is a DFT calculation (PBE) of SiIrRu2 after structural relaxation.

## Properties
SG ... I4/mmm
Crystal system ... tetragonal

Cell lengths 4.6277, 4.6277, 4.6277 Å; angles 131.34, 131.34, 71.28 degrees
Sites, in units of the cell vectors:
Si 0.0000 0.0000 0.0000
Ir 0.5000 0.5000 0.0000
Ru 0.2500 0.7500 0.5000
Ru 0.7500 0.2500 0.5000

# 5
The following is a DFT calculation (PBE) of SiIr2Ru after structural relaxation.

## Properties
SG ... Cmmm
Crystal system ... orthorhombic

Cell lengths 4.5872, 4.5872, 2.7632 Å; angles 90.00, 90.00, 107.42 degrees
Sites, in units of the cell vectors:
Si 0.0000 0.0000 0.0000
Ir 0.0000 0.5000 0.5000
Ir 0.5000 0.0000 0.5000
Ru 0.5000 0.5000 0.0000

# 6
The following is a DFT calculation (PBE) of SiIr2Ru after structural relaxation.

## Properties
SG ... Pmm2
Crystal system ... orthorhombic

Cell lengths 2.7657, 3.7084, 5.4331 Å; angles 90.00, 90.00, 90.00 degrees
Sites, in units of the cell vectors:
Si 0.0000 0.0000 0.0000
Ir 0.0000 0.0000 0.5056
Ir 0.5000 0.5000 0.2244
Ru 0.5000 0.5000 0.7382

# 7
The following is a DFT calculation (PBE) of SiIrRu3 after structural relaxation.

## Properties
SG ... Pm-3m
Crystal system ... cubic

Cell lengths 4.6733, 4.6733, 4.6733 Å; angles 90.00, 90.00, 90.00 degrees
Sites, in units of the cell vectors:
Si 0.0000 0.0000 0.0000
Ir 0.5000 0.5000 0.5000
Ru 0.0000 0.5000 0.5000
Ru 0.5000 0.0000 0.5000
Ru 0.5000 0.5000 0.0000

# 8
The following is a DFT calculation (PBE) of SiIr2Ru after structural relaxation.

## Properties
SG ... Cmm2
Crystal system ... orthorhombic

Cell lengths 2.7737, 2.7737, 8.5955 Å; angles 90.00, 90.00, 120.07 degrees
Sites, in units of the cell vectors:
Si 0.0000 0.0000 0.0000
Ir 0.0000 0.0000 0.5088
Ir 0.5000 0.5000 0.2265
Ru 0.5000 0.5000 0.7772

| no. | density of states at the Fermi level (states/eV/f.u.) | E_form (uncorrected) (eV/atom) |
| --- | --- | --- |
| 1 | 4.8 | -0.11 |
| 2 | 6.2 | -0.02 |
| 3 | 2.9 | -0.36 |
| 4 | 2.6 | -0.18 |
| 5 | 3.7 | -0.15 |
| 6 | 3.9 | -0.09 |
| 7 | 5.5 | 1.84 |
| 8 | 3.8 | 0.09 |